# 1
This record from the Alexandria database describes a relaxed structure of FeTe3. The functional is GGA-PBE.

a = 3.153 Å, b = 3.153 Å, c = 10.293 Å
α = 90.00°, β = 90.00°, γ = 90.13°
Each line ends with the local moment (μB).
Positions (direct):
1 Te 0.500 0.500 0.839  -0.03
2 Te 0.000 0.000 0.500  -0.05
3 Fe 0.000 0.000 0.000  1.74
4 Te 0.500 0.500 0.161  -0.03

Calculated values
Electronic total energy ... -17.1 eV/f.u.
Theoretical density ... 7.118 g/cm³
Calculated volume ... 25.6 A^3/atom
Crystal system ... orthorhombic

# 2
This record from the Alexandria database describes a relaxed structure of Fe5Te. The functional is GGA-PBE.

a = 4.791 Å, b = 4.791 Å, c = 5.809 Å
α = 72.34°, β = 72.34°, γ = 38.90°
Each line ends with the local moment (μB).
Positions (direct):
1 Fe 0.000 0.000 0.500  2.63
2 Fe 0.327 0.327 0.822  2.37
3 Fe 0.673 0.673 0.178  2.37
4 Fe 0.327 0.327 0.350  2.34
5 Te 0.000 0.000 0.000  -0.03
6 Fe 0.673 0.673 0.650  2.34

Calculated values
Polymorph energy (0 for the lowest one) ... 0.0 meV per atom
Electronic total energy ... -44.4 eV/f.u.
Theoretical density ... 8.521 g/cm³
Calculated volume ... 13.2 A^3/atom
Crystal system ... monoclinic

# 3
This record from the Alexandria database describes a relaxed structure of FeTe2. The functional is GGA-PBE.

a = 9.734 Å, b = 9.734 Å, c = 6.986 Å
α = 54.42°, β = 54.42°, γ = 18.96°
Each line ends with the local moment (μB).
Positions (direct):
1 Te 0.793 0.793 0.669  -0.04
2 Fe 0.404 0.404 0.338  2.61
3 Te 0.552 0.552 0.256  0.05
4 Fe 0.026 0.026 0.986  2.29
5 Te 0.638 0.638 0.638  -0.07
6 Te 0.421 0.421 0.946  0.04

Calculated values
Electronic total energy ... -14.5 eV/f.u.
Theoretical density ... 5.948 g/cm³
Calculated volume ... 28.9 A^3/atom
Crystal system ... monoclinic

# 4
This record from the Alexandria database describes a relaxed structure of Fe3Te. The functional is GGA-PBE.

a = 5.615 Å, b = 5.615 Å, c = 4.358 Å
α = 90.00°, β = 90.00°, γ = 120.06°
Each line ends with the local moment (μB).
Positions (direct):
1 Te 0.333 0.667 0.750  0.06
2 Fe 0.852 0.148 0.750  2.65
3 Te 0.667 0.333 0.250  0.06
4 Fe 0.148 0.297 0.250  2.65
5 Fe 0.148 0.852 0.250  2.65
6 Fe 0.852 0.703 0.750  2.65
7 Fe 0.703 0.852 0.250  2.65
8 Fe 0.297 0.148 0.750  2.65

Calculated values
Electronic total energy ... -27.6 eV/f.u.
Theoretical density ... 8.242 g/cm³
Calculated volume ... 14.9 A^3/atom
Crystal system ... hexagonal

# 5
This record from the Alexandria database describes a relaxed structure of Fe3Te4. The functional is GGA-PBE.

a = 4.874 Å, b = 4.874 Å, c = 8.833 Å
α = 90.00°, β = 90.00°, γ = 120.00°
Each line ends with the local moment (μB).
Positions (direct):
1 Fe 0.500 0.000 0.000  2.79
2 Te 0.000 0.000 0.818  -0.02
3 Fe 0.000 0.500 0.000  2.79
4 Te 0.333 0.667 0.500  0.04
5 Fe 0.500 0.500 0.000  2.79
6 Te 0.667 0.333 0.500  0.04
7 Te 0.000 0.000 0.182  -0.02

Calculated values
Electronic total energy ... -34.8 eV/f.u.
Theoretical density ... 6.194 g/cm³
Calculated volume ... 26.0 A^3/atom
Crystal system ... hexagonal

# 6
This record from the Alexandria database describes a relaxed structure of FeTe2. The functional is GGA-PBE.

a = 8.402 Å, b = 8.402 Å, c = 7.782 Å
α = 90.00°, β = 90.00°, γ = 120.00°
Each line ends with the local moment (μB).
Positions (direct):
1 Fe 0.333 0.667 0.103  2.87
2 Te 0.174 0.348 0.250  0.05
3 Te 0.000 0.000 0.500  -0.27
4 Te 0.652 0.826 0.250  0.05
5 Fe 0.333 0.667 0.397  2.87
6 Te 0.000 0.000 0.000  -0.27
7 Fe 0.667 0.333 0.603  2.87
8 Fe 0.667 0.333 0.897  2.87
9 Te 0.826 0.174 0.750  0.05
10 Te 0.174 0.826 0.250  0.05
11 Te 0.826 0.652 0.750  0.05
12 Te 0.348 0.174 0.750  0.05

Calculated values
Electronic total energy ... -12.9 eV/f.u.
Theoretical density ... 4.343 g/cm³
Calculated volume ... 39.6 A^3/atom
Crystal system ... hexagonal

# 7
This record from the Alexandria database describes a relaxed structure of FeTe4. The functional is GGA-PBE.

a = 5.724 Å, b = 5.724 Å, c = 5.724 Å
α = 109.47°, β = 109.47°, γ = 109.47°
Each line ends with the local moment (μB).
Positions (direct):
1 Fe 0.000 0.000 0.000  2.72
2 Te 0.000 0.500 0.000  0.00
3 Te 0.500 0.500 0.500  0.00
4 Te 0.500 0.000 0.000  0.00
5 Te 0.000 0.000 0.500  0.00

Calculated values
Polymorph energy (0 for the lowest one) ... 0.0 meV per atom
Electronic total energy ... -19.4 eV/f.u.
Theoretical density ... 6.511 g/cm³
Calculated volume ... 28.9 A^3/atom
Crystal system ... cubic

# 8
This record from the Alexandria database describes a relaxed structure of FeTe2. The functional is GGA-PBE.

a = 6.221 Å, b = 6.221 Å, c = 6.221 Å
α = 60.00°, β = 60.00°, γ = 60.00°
Each line ends with the local moment (μB).
Positions (direct):
1 Fe 0.750 0.750 0.750  3.30
2 Te 0.125 0.125 0.125  0.06
3 Te 0.125 0.125 0.625  0.06
4 Te 0.625 0.125 0.125  0.06
5 Fe 0.500 0.500 0.500  3.30
6 Te 0.125 0.625 0.125  0.06

Calculated values
Electronic total energy ... -11.0 eV/f.u.
Theoretical density ... 6.068 g/cm³
Calculated volume ... 28.4 A^3/atom
Crystal system ... cubic

# 9
This record from the Alexandria database describes a relaxed structure of FeTe3. The functional is GGA-PBE.

a = 5.288 Å, b = 5.288 Å, c = 3.534 Å
α = 90.00°, β = 90.00°, γ = 90.00°
Each line ends with the local moment (μB).
Positions (direct):
1 Te 0.000 0.500 0.500  -0.02
2 Te 0.500 0.000 0.500  -0.02
3 Te 0.500 0.500 0.000  -0.01
4 Fe 0.000 0.000 0.000  3.14

Calculated values
Electronic total energy ... -15.4 eV/f.u.
Theoretical density ... 7.372 g/cm³
Calculated volume ... 24.7 A^3/atom
Crystal system ... tetragonal

# 10
This record from the Alexandria database describes a relaxed structure of FeTe3. The functional is GGA-PBE.

a = 9.315 Å, b = 9.315 Å, c = 9.315 Å
α = 22.16°, β = 22.16°, γ = 22.16°
Each line ends with the local moment (μB).
Positions (direct):
1 Te 0.277 0.277 0.277  -0.04
2 Te 0.500 0.500 0.500  -0.01
3 Fe 0.000 0.000 0.000  1.57
4 Te 0.723 0.723 0.723  -0.04

Calculated values
Electronic total energy ... -17.5 eV/f.u.
Theoretical density ... 7.222 g/cm³
Calculated volume ... 25.2 A^3/atom
Crystal system ... trigonal

# 11
This record from the Alexandria database describes a relaxed structure of FeTe3. The functional is GGA-PBE.

a = 6.784 Å, b = 6.784 Å, c = 6.784 Å
α = 149.98°, β = 136.83°, γ = 53.47°
Each line ends with the local moment (μB).
Positions (direct):
1 Te 0.338 0.338 0.000  -0.01
2 Te 0.662 0.662 0.000  -0.01
3 Fe 0.500 0.000 0.500  2.30
4 Te 0.000 0.500 0.500  -0.05

Calculated values
Electronic total energy ... -17.1 eV/f.u.
Theoretical density ... 6.854 g/cm³
Calculated volume ... 26.6 A^3/atom
Crystal system ... orthorhombic

# 12
This record from the Alexandria database describes a relaxed structure of Fe3Te. The functional is GGA-PBE.

a = 4.346 Å, b = 5.159 Å, c = 5.233 Å
α = 90.00°, β = 90.00°, γ = 90.00°
Each line ends with the local moment (μB).
Positions (direct):
1 Te 0.000 0.636 0.000  0.00
2 Fe 0.000 0.158 0.257  2.51
3 Fe 0.000 0.750 0.500  2.50
4 Fe 0.500 0.842 0.757  2.51
5 Fe 0.500 0.250 0.000  2.50
6 Fe 0.500 0.842 0.243  2.51
7 Fe 0.000 0.158 0.743  2.51
8 Te 0.500 0.364 0.500  0.00

Calculated values
Electronic total energy ... -27.5 eV/f.u.
Theoretical density ... 8.355 g/cm³
Calculated volume ... 14.7 A^3/atom
Crystal system ... orthorhombic

# 13
This record from the Alexandria database describes a relaxed structure of FeTe4. The functional is GGA-PBE.

a = 5.118 Å, b = 5.118 Å, c = 5.118 Å
α = 90.00°, β = 90.00°, γ = 90.00°
Each line ends with the local moment (μB).
Positions (direct):
1 Te 0.500 0.500 0.000  0.11
2 Te 0.500 0.000 0.500  0.11
3 Fe 0.500 0.500 0.500  2.31
4 Te 0.000 0.000 0.000  -0.10
5 Te 0.000 0.500 0.500  0.11

Calculated values
Polymorph energy (0 for the lowest one) ... 8.3 meV per atom
Electronic total energy ... -19.3 eV/f.u.
Theoretical density ... 7.016 g/cm³
Calculated volume ... 26.8 A^3/atom
Crystal system ... cubic